1.
VASP calculation (SCAN) on a crystal of LiAl2InAg relaxed with PBEsol.

Geometry as CIF:
```
data_LiAl2InAg
_chemical_formula_sum 'Li1 Al2 In1 Ag1'
_cell_length_a 4.830
_cell_length_b 4.830
_cell_length_c 5.371
_cell_angle_alpha 90.00
_cell_angle_beta 90.00
_cell_angle_gamma 90.00
_space_group_name_H-M_alt 'P 4/m m m'
_space_group_IT_number 123
_space_group_name_Hall '-P 4 2'
loop_
_atom_site_label
_atom_site_type_symbol
_atom_site_fract_x
_atom_site_fract_y
_atom_site_fract_z
Li1 Li 0.000 0.000 0.000
Al1 Al 0.000 0.500 0.500
In1 In 0.500 0.500 0.000
Ag1 Ag 0.500 0.500 0.500
```

Crystal system = tetragonal
Electronic total energy = -16.18 eV per atom
Density = 3.759 g cm⁻³
Energy of formation = 0.350 eV per atom

---

2.
VASP calculation (SCAN) on a crystal of Sb2TeRuBr relaxed with PBEsol.

Geometry as CIF:
```
data_Sb2TeRuBr
_chemical_formula_sum 'Sb2 Te1 Ru1 Br1'
_cell_length_a 5.342
_cell_length_b 5.342
_cell_length_c 5.265
_cell_angle_alpha 90.00
_cell_angle_beta 90.00
_cell_angle_gamma 90.00
_space_group_name_H-M_alt 'P 4/m m m'
_space_group_IT_number 123
_space_group_name_Hall '-P 4 2'
loop_
_atom_site_label
_atom_site_type_symbol
_atom_site_fract_x
_atom_site_fract_y
_atom_site_fract_z
Sb1 Sb 0.000 0.500 0.000
Te1 Te 0.000 0.000 0.500
Ru1 Ru 0.500 0.500 0.500
Br1 Br 0.000 0.000 0.000
```

Crystal system = tetragonal
Electronic total energy = -31.50 eV per atom
Density = 6.101 g cm⁻³

---

3.
VASP calculation (SCAN) on a crystal of MnCr2Mo relaxed with PBEsol.

Geometry as CIF:
```
data_MnCr2Mo
_chemical_formula_sum 'Mn1 Cr2 Mo1'
_cell_length_a 2.852
_cell_length_b 2.852
_cell_length_c 5.901
_cell_angle_alpha 90.00
_cell_angle_beta 90.00
_cell_angle_gamma 90.00
_space_group_name_H-M_alt 'P 4 m m'
_space_group_IT_number 99
loop_
_space_group_symop_operation_xyz
'x,y,z'
'-y,x,z'
'-x,-y,z'
'y,-x,z'
'-x,y,z'
'y,x,z'
'x,-y,z'
'-y,-x,z'
loop_
_atom_site_label
_atom_site_type_symbol
_atom_site_fract_x
_atom_site_fract_y
_atom_site_fract_z
Mn1 Mn 0.000 0.000 0.000
Cr1 Cr 0.000 0.000 0.543
Cr2 Cr 0.500 0.500 0.766
Mo1 Mo 0.500 0.500 0.269
```

Crystal system = tetragonal
Electronic total energy = -22.35 eV per atom
Density = 8.818 g cm⁻³
Energy of formation = 0.126 eV per atom

---

4.
VASP calculation (SCAN) on a crystal of LiZnMoRu2 relaxed with PBEsol.

Geometry as CIF:
```
data_LiZnMoRu2
_chemical_formula_sum 'Li1 Zn1 Mo1 Ru2'
_cell_length_a 4.490
_cell_length_b 4.490
_cell_length_c 4.542
_cell_angle_alpha 90.00
_cell_angle_beta 90.00
_cell_angle_gamma 90.00
_space_group_name_H-M_alt 'P 4/m m m'
_space_group_IT_number 123
_space_group_name_Hall '-P 4 2'
loop_
_atom_site_label
_atom_site_type_symbol
_atom_site_fract_x
_atom_site_fract_y
_atom_site_fract_z
Li1 Li 0.000 0.000 0.000
Zn1 Zn 0.500 0.500 0.500
Mo1 Mo 0.500 0.500 0.000
Ru1 Ru 0.000 0.500 0.500
```

Crystal system = tetragonal
Electronic total energy = -22.47 eV per atom
Density = 6.717 g cm⁻³
Energy of formation = 1.614 eV per atom

---

5.
VASP calculation (SCAN) on a crystal of HfPtSN2 relaxed with PBEsol.

Geometry as CIF:
```
data_HfPtSN2
_chemical_formula_sum 'Hf1 Pt1 S1 N2'
_cell_length_a 3.873
_cell_length_b 3.873
_cell_length_c 4.612
_cell_angle_alpha 90.00
_cell_angle_beta 90.00
_cell_angle_gamma 90.00
_space_group_name_H-M_alt 'P 4/m m m'
_space_group_IT_number 123
_space_group_name_Hall '-P 4 2'
loop_
_atom_site_label
_atom_site_type_symbol
_atom_site_fract_x
_atom_site_fract_y
_atom_site_fract_z
Hf1 Hf 0.000 0.000 0.000
Pt1 Pt 0.500 0.500 0.500
S1 S 0.500 0.500 0.000
N1 N 0.000 0.500 0.500
```

Crystal system = tetragonal
Electronic total energy = -31.47 eV per atom
Density = 10.409 g cm⁻³

---

6.
VASP calculation (SCAN) on a crystal of CaOs2Au relaxed with PBEsol.

Geometry as CIF:
```
data_CaOs2Au
_chemical_formula_sum 'Ca3 Os6 Au3'
_cell_length_a 2.8085
_cell_length_b 2.8085
_cell_length_c 28.8254
_cell_angle_alpha 90.00
_cell_angle_beta 90.00
_cell_angle_gamma 120.00
_space_group_name_H-M_alt 'R -3 m'
_space_group_IT_number 166
_space_group_name_Hall '-R 3 2"'
loop_
_atom_site_label
_atom_site_type_symbol
_atom_site_fract_x
_atom_site_fract_y
_atom_site_fract_z
Ca1 Ca 0.0000 0.0000 0.0000
Os1 Os 0.0000 0.0000 0.2463
Au1 Au 0.0000 0.0000 0.5000
```

Crystal system = trigonal
Electronic total energy = -54.83 eV per atom
Density = 15.622 g cm⁻³
Energy of formation = 0.818 eV per atom

---

7.
VASP calculation (SCAN) on a crystal of SrOsAu2 relaxed with PBEsol.

Geometry as CIF:
```
data_SrOsAu2
_chemical_formula_sum 'Sr1 Os1 Au2'
_cell_length_a 3.500
_cell_length_b 3.500
_cell_length_c 6.652
_cell_angle_alpha 90.00
_cell_angle_beta 90.00
_cell_angle_gamma 90.00
_space_group_name_H-M_alt 'P 4 m m'
_space_group_IT_number 99
loop_
_space_group_symop_operation_xyz
'x,y,z'
'-y,x,z'
'-x,-y,z'
'y,-x,z'
'-x,y,z'
'y,x,z'
'x,-y,z'
'-y,-x,z'
loop_
_atom_site_label
_atom_site_type_symbol
_atom_site_fract_x
_atom_site_fract_y
_atom_site_fract_z
Sr1 Sr 0.000 0.000 0.000
Os1 Os 0.500 0.500 0.683
Au1 Au 0.000 0.000 0.534
Au2 Au 0.500 0.500 0.282
```

Crystal system = tetragonal
Electronic total energy = -57.74 eV per atom
Density = 13.691 g cm⁻³
Energy of formation = 0.379 eV per atom

---

8.
VASP calculation (SCAN) on a crystal of CsCdBO3 relaxed with PBEsol.

Geometry as CIF:
```
data_CsCdBO3
_chemical_formula_sum 'Cs4 Cd4 B4 O12'
_cell_length_a 7.490
_cell_length_b 7.490
_cell_length_c 7.490
_cell_angle_alpha 90.00
_cell_angle_beta 90.00
_cell_angle_gamma 90.00
_space_group_name_H-M_alt 'P 21 3'
_space_group_IT_number 198
_space_group_name_Hall 'P 2ac 2ab 3'
loop_
_atom_site_label
_atom_site_type_symbol
_atom_site_fract_x
_atom_site_fract_y
_atom_site_fract_z
Cs1 Cs 0.137 0.363 0.637
Cd1 Cd 0.147 0.147 0.147
B1 B 0.095 0.905 0.405
O1 O 0.028 0.416 0.234
```

Crystal system = cubic
Electronic total energy = -17.79 eV per atom
Density = 4.807 g cm⁻³

---

9.
VASP calculation (SCAN) on a crystal of BeFeMo relaxed with PBEsol.

Geometry as CIF:
```
data_BeFeMo
_chemical_formula_sum 'Be2 Fe2 Mo2'
_cell_length_a 2.779
_cell_length_b 2.779
_cell_length_c 8.507
_cell_angle_alpha 90.00
_cell_angle_beta 90.00
_cell_angle_gamma 90.00
_space_group_name_H-M_alt 'I 4 m m'
_space_group_IT_number 107
_space_group_name_Hall 'I 4 -2'
loop_
_atom_site_label
_atom_site_type_symbol
_atom_site_fract_x
_atom_site_fract_y
_atom_site_fract_z
Be1 Be 0.000 0.000 0.000
Fe1 Fe 0.000 0.000 0.371
Mo1 Mo 0.000 0.000 0.690
```

Crystal system = tetragonal
Electronic total energy = -19.05 eV per atom
Density = 8.130 g cm⁻³
Energy of formation = 0.074 eV per atom

---

10.
VASP calculation (SCAN) on a crystal of HgSb4 relaxed with PBEsol.

Geometry as CIF:
```
data_HgSb4
_chemical_formula_sum 'Hg2 Sb8'
_cell_length_a 6.735
_cell_length_b 6.735
_cell_length_c 6.735
_cell_angle_alpha 90.00
_cell_angle_beta 90.00
_cell_angle_gamma 90.00
_space_group_name_H-M_alt 'I m -3 m'
_space_group_IT_number 229
_space_group_name_Hall '-I 4 2 3'
loop_
_atom_site_label
_atom_site_type_symbol
_atom_site_fract_x
_atom_site_fract_y
_atom_site_fract_z
Hg1 Hg 0.000 0.000 0.000
Sb1 Sb 0.250 0.250 0.250
```

Crystal system = cubic
Electronic total energy = -43.07 eV per atom
Density = 7.476 g cm⁻³

---

11.
VASP calculation (SCAN) on a crystal of MnBeSb2 relaxed with PBEsol.

Geometry as CIF:
```
data_MnBeSb2
_chemical_formula_sum 'Mn2 Be2 Sb4'
_cell_length_a 3.819
_cell_length_b 3.819
_cell_length_c 10.275
_cell_angle_alpha 90.00
_cell_angle_beta 90.00
_cell_angle_gamma 90.00
_space_group_name_H-M_alt 'I -4 m 2'
_space_group_IT_number 119
_space_group_name_Hall 'I -4 -2'
loop_
_atom_site_label
_atom_site_type_symbol
_atom_site_fract_x
_atom_site_fract_y
_atom_site_fract_z
Mn1 Mn 0.000 0.000 0.000
Be1 Be 0.000 0.500 0.750
Sb1 Sb 0.000 0.000 0.500
Sb2 Sb 0.000 0.500 0.250
```

Crystal system = tetragonal
Electronic total energy = -23.94 eV per atom
Density = 6.813 g cm⁻³

---

12.
VASP calculation (SCAN) on a crystal of KAs3Os relaxed with PBEsol.

Geometry as CIF:
```
data_KAs3Os
_chemical_formula_sum 'K1 As3 Os1'
_cell_length_a 4.885
_cell_length_b 4.885
_cell_length_c 4.885
_cell_angle_alpha 90.00
_cell_angle_beta 90.00
_cell_angle_gamma 90.00
_space_group_name_H-M_alt 'P m -3 m'
_space_group_IT_number 221
_space_group_name_Hall '-P 4 2 3'
loop_
_atom_site_label
_atom_site_type_symbol
_atom_site_fract_x
_atom_site_fract_y
_atom_site_fract_z
K1 K 0.000 0.000 0.000
As1 As 0.000 0.500 0.500
Os1 Os 0.500 0.500 0.500
```

Crystal system = cubic
Electronic total energy = -27.76 eV per atom
Density = 6.469 g cm⁻³
Energy of formation = 0.392 eV per atom